Entry 1:
Material: Pm2GaP3Pd4
Method: DFT, PBE
State: optimized geometry

The energy relative to the elements is -931 meV per atom.

The structure belongs to space group P-4m2 (No. 115); the cell edges are 4.132, 4.132 and 10.435 Å and the angles 90.00°, 90.00° and 90.00°. The inequivalent atoms are Pm at (0.000, 0.500, 0.239), Ga at (0.000, 0.000, 0.500), P at (0.000, 0.500, 0.864), P at (0.500, 0.500, 0.500), Pd at (0.000, 0.000, 0.000), Pd at (0.000, 0.500, 0.637) and Pd at (0.500, 0.500, 0.000).

---

Entry 2:
Material: Pm2GaPPd6
Method: DFT, PBE
State: optimized geometry

The energy relative to the elements is -758 meV per atom.

The structure belongs to space group Pmmn (No. 59, origin choice 2); the cell edges are 5.590, 8.703 and 8.070 Å and the angles 90.00°, 90.00° and 90.00°. The inequivalent atoms are Pm at (0.250, 0.012, 0.233), Ga at (0.250, 0.750, 0.778), P at (0.250, 0.250, 0.735), Pd at (0.001, 0.750, 0.509), Pd at (0.002, 0.250, 0.969) and Pd at (0.250, 0.002, 0.616).

---

Entry 3:
Material: GaP2PdS
Method: DFT, PBE
State: optimized geometry

For the raw formation energy, the calculation gives 0.65 eV/atom. The value obtained for the excess energy over the best structure of this formula in the dataset is 0 meV per atom.

The structure belongs to space group P4/mmm (No. 123); the cell edges are 4.607, 4.607 and 5.131 Å and the angles 90.00°, 90.00° and 90.00°. The inequivalent atoms are Ga at (0.000, 0.000, 0.000), P at (0.000, 0.500, 0.500), Pd at (0.500, 0.500, 0.500) and S at (0.500, 0.500, 0.000).

---

Entry 4:
Material: GaPPdS2
Method: DFT, PBE
State: optimized geometry

For the raw formation energy, the calculation gives 0.52 eV/atom. The value obtained for the excess energy over the best structure of this formula in the dataset is 0 meV per atom.

The structure belongs to space group P4/mmm (No. 123); the cell edges are 4.985, 4.985 and 4.429 Å and the angles 90.00°, 90.00° and 90.00°. The inequivalent atoms are Ga at (0.000, 0.000, 0.000), P at (0.500, 0.500, 0.000), Pd at (0.500, 0.500, 0.500) and S at (0.000, 0.500, 0.500).

---

Entry 5:
Material: Sc2GaPPd
Method: DFT, PBE
State: optimized geometry

The energy relative to the elements is 270 meV per atom.

The structure belongs to space group P4/mmm (No. 123); the cell edges are 5.079, 5.079 and 4.355 Å and the angles 90.00°, 90.00° and 90.00°. The inequivalent atoms are Sc at (0.000, 0.500, 0.000), Ga at (0.000, 0.000, 0.000), P at (0.000, 0.000, 0.500) and Pd at (0.500, 0.500, 0.500).

---

Entry 6:
Material: Ga2SiPPd
Method: DFT, PBE
State: optimized geometry

For the raw formation energy, the calculation gives 0.46 eV/atom.

The structure belongs to space group P4/mmm (No. 123); the cell edges are 4.715, 4.715 and 4.586 Å and the angles 90.00°, 90.00° and 90.00°. The inequivalent atoms are Ga at (0.000, 0.500, 0.000), Si at (0.000, 0.000, 0.500), P at (0.500, 0.500, 0.000) and Pd at (0.500, 0.500, 0.500).

---

Entry 7:
Material: GaSn2P2Pd7
Method: DFT, PBE
State: optimized geometry

The energy relative to the elements is -411 meV per atom.

The structure belongs to space group C2/m (No. 12); the cell edges are 5.522, 5.565 and 14.160 Å and the angles 90.00°, 95.59° and 90.00°. The inequivalent atoms are Ga at (0.000, 0.000, 0.000), Sn at (0.125, 0.000, 0.409), P at (0.062, 0.500, 0.237), Pd at (0.000, 0.500, 0.000), Pd at (0.107, 0.500, 0.404) and Pd at (0.211, 0.250, 0.856).

---

Entry 8:
Material: Sr2GaPPd6
Method: DFT, PBE
State: optimized geometry

The energy relative to the elements is -705 meV per atom.

The structure belongs to space group P-1 (No. 2); the cell edges are 6.426, 6.431 and 6.898 Å and the angles 62.43°, 62.32° and 60.06°. The inequivalent atoms are Sr at (0.223, 0.223, 0.331), Ga at (0.500, 0.500, 0.500), P at (0.000, 0.000, 0.000), Pd at (0.245, 0.245, 0.832), Pd at (0.245, 0.676, 0.833) and Pd at (0.323, 0.755, 0.167).

---

Entry 9:
Material: GaTe2P2Pd7
Method: DFT, PBE
State: optimized geometry

For the raw formation energy, the calculation gives -0.44 eV/atom.

The structure belongs to space group I4/mmm (No. 139); the cell edges are 3.933, 3.933 and 28.679 Å and the angles 90.00°, 90.00° and 90.00°. The inequivalent atoms are Ga at (0.000, 0.000, 0.000), Te at (0.000, 0.000, 0.208), P at (0.000, 0.000, 0.384), Pd at (0.000, 0.000, 0.303), Pd at (0.000, 0.000, 0.500) and Pd at (0.000, 0.500, 0.071).

---

Entry 10:
Material: Pm2GaP
Method: DFT, PBE
State: optimized geometry

The value obtained for the excess energy over the best structure of this formula in the dataset is 92 meV per atom. The energy relative to the elements is -989 meV per atom.

The structure belongs to space group R-3m (No. 166, hexagonal axes); the cell edges are 4.0406, 4.0406 and 22.4278 Å and the angles 90.00°, 90.00° and 120.00°. The inequivalent atoms are Pm at (0.0000, 0.0000, 0.2403), Ga at (0.0000, 0.0000, 0.0000) and P at (0.0000, 0.0000, 0.5000).

---

Entry 11:
Material: Pm2GaP
Method: DFT, PBE
State: optimized geometry

The value obtained for the excess energy over the best structure of this formula in the dataset is 0 meV per atom. The energy relative to the elements is -1081 meV per atom.

The structure belongs to space group Cmcm (No. 63); the cell edges are 4.124, 23.832 and 4.197 Å and the angles 90.00°, 90.00° and 90.00°. The inequivalent atoms are Pm at (0.000, 0.071, 0.250), Pm at (0.000, 0.309, 0.250), Ga at (0.000, 0.466, 0.250) and P at (0.000, 0.189, 0.250).

---

Entry 12:
Material: Pm2GaP
Method: DFT, PBE
State: optimized geometry

The value obtained for the excess energy over the best structure of this formula in the dataset is 446 meV per atom. The energy relative to the elements is -634 meV per atom.

The structure belongs to space group Fm-3m (No. 225); the cell edges are 7.232, 7.232 and 7.232 Å and the angles 90.00°, 90.00° and 90.00°. The inequivalent atoms are Pm at (0.250, 0.250, 0.250), Ga at (0.000, 0.000, 0.000) and P at (0.000, 0.000, 0.500).

---

Entry 13:
Material: Pm2GaP
Method: DFT, PBE
State: optimized geometry

The value obtained for the excess energy over the best structure of this formula in the dataset is 265 meV per atom. The energy relative to the elements is -816 meV per atom.

The structure belongs to space group P4/mmm (No. 123); the cell edges are 3.716, 3.716 and 6.782 Å and the angles 90.00°, 90.00° and 90.00°. The inequivalent atoms are Pm at (0.000, 0.000, 0.235), Ga at (0.500, 0.500, 0.500) and P at (0.500, 0.500, 0.000).

---

Entry 14:
Material: Pm3GaP
Method: DFT, PBE
State: optimized geometry

The energy relative to the elements is -555 meV per atom.

The structure belongs to space group Pm-3m (No. 221); the cell edges are 5.394, 5.394 and 5.394 Å and the angles 90.00°, 90.00° and 90.00°. The inequivalent atoms are Pm at (0.000, 0.000, 0.500), Ga at (0.500, 0.500, 0.500) and P at (0.000, 0.000, 0.000).

---

Entry 15:
Material: Pm2Ga3PPt4
Method: DFT, PBE
State: optimized geometry

The energy relative to the elements is -955 meV per atom.

The structure belongs to space group P-4m2 (No. 115); the cell edges are 4.343, 4.343 and 10.017 Å and the angles 90.00°, 90.00° and 90.00°. The inequivalent atoms are Pm at (0.000, 0.500, 0.243), Ga at (0.000, 0.000, 0.000), Ga at (0.000, 0.500, 0.633), P at (0.500, 0.500, 0.000), Pt at (0.000, 0.000, 0.500), Pt at (0.000, 0.500, 0.881) and Pt at (0.500, 0.500, 0.500).

---

Entry 16:
Material: PmGa2P2Pt7
Method: DFT, PBE
State: optimized geometry

The energy relative to the elements is -590 meV per atom.

The structure belongs to space group C2/m (No. 12); the cell edges are 5.590, 5.594 and 14.416 Å and the angles 90.00°, 96.18° and 90.00°. The inequivalent atoms are Pm at (0.000, 0.000, 0.000), Ga at (0.133, 0.000, 0.425), P at (0.071, 0.500, 0.252), Pt at (0.000, 0.500, 0.000), Pt at (0.091, 0.500, 0.410) and Pt at (0.204, 0.250, 0.839).

---

Entry 17:
Material: Pm3GaP2Rh9
Method: DFT, PBE
State: optimized geometry

The energy relative to the elements is -614 meV per atom.

The structure belongs to space group P-3m1 (No. 164); the cell edges are 6.4832, 6.4832 and 7.5784 Å and the angles 90.00°, 90.00° and 120.00°. The inequivalent atoms are Pm at (0.0000, 0.0000, 0.0000), Pm at (0.3333, 0.6667, 0.6616), Ga at (0.0000, 0.0000, 0.5000), P at (0.3333, 0.6667, 0.1577), Rh at (0.0000, 0.5000, 0.0000) and Rh at (0.1757, 0.3514, 0.3295).

---

Entry 18:
Material: Pm6GaP2S3
Method: DFT, PBE
State: optimized geometry

For the raw formation energy, the calculation gives -1.65 eV/atom.

The structure belongs to space group C2/m (No. 12); the cell edges are 17.971, 4.079 and 8.295 Å and the angles 90.00°, 103.31° and 90.00°. The inequivalent atoms are Pm at (0.001, 0.000, 0.258), Pm at (0.168, 0.500, 0.088), Pm at (0.169, 0.500, 0.579), Ga at (0.000, 0.500, 0.000), P at (0.167, 0.000, 0.335), S at (0.000, 0.500, 0.500) and S at (0.168, 0.000, 0.832).

---

Entry 19:
Material: Pm4GaPSe2
Method: DFT, PBE
State: optimized geometry

For the raw formation energy, the calculation gives -1.48 eV/atom.

The structure belongs to space group P2/m (No. 10); the cell edges are 7.319, 4.136 and 7.358 Å and the angles 90.00°, 108.74° and 90.00°. The inequivalent atoms are Pm at (0.241, 0.000, 0.235), Pm at (0.247, 0.500, 0.755), Ga at (0.500, 0.000, 0.000), P at (0.000, 0.500, 0.000), Se at (0.000, 0.000, 0.500) and Se at (0.500, 0.500, 0.500).

---

Entry 20:
Material: Pm6GaP2Se3
Method: DFT, PBE
State: optimized geometry

For the raw formation energy, the calculation gives -1.58 eV/atom.

The structure belongs to space group C2/m (No. 12); the cell edges are 18.375, 4.143 and 8.497 Å and the angles 90.00°, 103.96° and 90.00°. The inequivalent atoms are Pm at (0.004, 0.000, 0.251), Pm at (0.166, 0.500, 0.094), Pm at (0.171, 0.500, 0.572), Ga at (0.000, 0.500, 0.000), P at (0.168, 0.000, 0.335), Se at (0.000, 0.500, 0.500) and Se at (0.167, 0.000, 0.831).

---

Entry 21:
Material: PmGa2Tc2P
Method: DFT, PBE
State: optimized geometry

The energy relative to the elements is -483 meV per atom.

The structure belongs to space group P4/mmm (No. 123); the cell edges are 4.450, 4.450 and 5.650 Å and the angles 90.00°, 90.00° and 90.00°. The inequivalent atoms are Pm at (0.000, 0.000, 0.000), Ga at (0.500, 0.500, 0.228), Tc at (0.000, 0.500, 0.500) and P at (0.000, 0.000, 0.500).

---

Entry 22:
Material: Pm4GaTe2P
Method: DFT, PBE
State: optimized geometry

For the raw formation energy, the calculation gives -1.28 eV/atom.

The structure belongs to space group P2/m (No. 10); the cell edges are 7.511, 4.241 and 7.667 Å and the angles 90.00°, 108.36° and 90.00°. The inequivalent atoms are Pm at (0.235, 0.000, 0.218), Pm at (0.253, 0.500, 0.771), Ga at (0.500, 0.000, 0.000), Te at (0.000, 0.000, 0.500), Te at (0.500, 0.500, 0.500) and P at (0.000, 0.500, 0.000).

---

Entry 23:
Material: Pm8GaTe4P3
Method: DFT, PBE
State: optimized geometry

For the raw formation energy, the calculation gives -1.43 eV/atom.

The structure belongs to space group R-3m (No. 166, hexagonal axes); the cell edges are 8.5369, 8.5369 and 21.7081 Å and the angles 90.00°, 90.00° and 120.00°. The inequivalent atoms are Pm at (0.0000, 0.0000, 0.2375), Pm at (0.0033, 0.5016, 0.7599), Ga at (0.0000, 0.0000, 0.5000), Te at (0.0000, 0.0000, 0.0000), Te at (0.0000, 0.5000, 0.0000) and P at (0.0000, 0.5000, 0.5000).

---

Entry 24:
Material: Pr2GaP
Method: DFT, PBE
State: optimized geometry

The value obtained for the excess energy over the best structure of this formula in the dataset is 523 meV per atom. The energy relative to the elements is -522 meV per atom.

The structure belongs to space group R-3m (No. 166, hexagonal axes); the cell edges are 3.9290, 3.9290 and 29.1336 Å and the angles 90.00°, 90.00° and 120.00°. The inequivalent atoms are Pr at (0.0000, 0.0000, 0.1085), Ga at (0.0000, 0.0000, 0.0000) and P at (0.0000, 0.0000, 0.5000).